(1)
# LiCaHgP PBE-GGA optimized geometry
# DFT formation energy (meV/atom): -582
# Energy (eV/cell): -47.8
# Total magnetization (μB per atom): 0.0000
data_LiCaHgP
_chemical_formula_sum 'Li4 Ca4 Hg4 P4'
_space_group_name_H-M_alt 'F -4 3 m'
_space_group_IT_number 216
_space_group_name_Hall 'F -4 2 3'
_cell_length_a 6.989
_cell_length_b 6.989
_cell_length_c 6.989
_cell_angle_alpha 90.00
_cell_angle_beta 90.00
_cell_angle_gamma 90.00
loop_
_atom_site_label
_atom_site_type_symbol
_atom_site_fract_x
_atom_site_fract_y
_atom_site_fract_z
Li1 Li 0.000 0.000 0.000
Ca1 Ca 0.000 0.000 0.500
Hg1 Hg 0.250 0.250 0.750
P1 P 0.250 0.250 0.250


(2)
# K6NaHg23 PBE-GGA optimized geometry
# DFT formation energy (meV/atom): -189
# Energy (eV/cell): -82.0
# Total magnetization (μB per atom): 0.0000
data_K6NaHg23
_chemical_formula_sum 'K24 Na4 Hg92'
_space_group_name_H-M_alt 'F m -3 m'
_space_group_IT_number 225
_space_group_name_Hall '-F 4 2 3'
_cell_length_a 15.381
_cell_length_b 15.381
_cell_length_c 15.381
_cell_angle_alpha 90.00
_cell_angle_beta 90.00
_cell_angle_gamma 90.00
loop_
_atom_site_label
_atom_site_type_symbol
_atom_site_fract_x
_atom_site_fract_y
_atom_site_fract_z
K1 K 0.000 0.000 0.226
Na1 Na 0.000 0.000 0.500
Hg1 Hg 0.000 0.000 0.000
Hg2 Hg 0.000 0.250 0.250
Hg3 Hg 0.119 0.119 0.381
Hg4 Hg 0.166 0.166 0.166


(3)
# Nd4Y3Cd PBE-GGA optimized geometry
# DFT formation energy (meV/atom): -61
# Energy (eV/cell): -39.9
# Total magnetization (μB per atom): 0.0000
data_Nd4Y3Cd
_chemical_formula_sum 'Nd4 Y3 Cd1'
_space_group_name_H-M_alt 'P 4/m m m'
_space_group_IT_number 123
_space_group_name_Hall '-P 4 2'
_cell_length_a 3.667
_cell_length_b 3.667
_cell_length_c 19.429
_cell_angle_alpha 90.00
_cell_angle_beta 90.00
_cell_angle_gamma 90.00
loop_
_atom_site_label
_atom_site_type_symbol
_atom_site_fract_x
_atom_site_fract_y
_atom_site_fract_z
Nd1 Nd 0.000 0.000 0.109
Nd2 Nd 0.000 0.000 0.370
Y1 Y 0.500 0.500 0.240
Y2 Y 0.500 0.500 0.500
Cd1 Cd 0.500 0.500 0.000


(4)
# Ca2Be2As PBE-GGA optimized geometry
# Relative energy among the computed polymorphs (meV/atom): 92
# DFT formation energy (meV/atom): 25
# Energy (eV/cell): -32.0
# Total magnetization (μB per atom): 0.0000
data_Ca2Be2As
_chemical_formula_sum 'Ca4 Be4 As2'
_space_group_name_H-M_alt 'I 4/m m m'
_space_group_IT_number 139
_space_group_name_Hall '-I 4 2'
_cell_length_a 5.731
_cell_length_b 5.731
_cell_length_c 6.250
_cell_angle_alpha 90.00
_cell_angle_beta 90.00
_cell_angle_gamma 90.00
loop_
_atom_site_label
_atom_site_type_symbol
_atom_site_fract_x
_atom_site_fract_y
_atom_site_fract_z
Ca1 Ca 0.000 0.500 0.250
Be1 Be 0.000 0.000 0.153
As1 As 0.000 0.000 0.500


(5)
# ScNi4Bi PBE-GGA optimized geometry
# DFT formation energy (meV/atom): -247
# Energy (eV/cell): -139.3
# Total magnetization (μB per atom): 0.0001
data_ScNi4Bi
_chemical_formula_sum 'Sc4 Ni16 Bi4'
_space_group_name_H-M_alt 'F -4 3 m'
_space_group_IT_number 216
_space_group_name_Hall 'F -4 2 3'
_cell_length_a 7.024
_cell_length_b 7.024
_cell_length_c 7.024
_cell_angle_alpha 90.00
_cell_angle_beta 90.00
_cell_angle_gamma 90.00
loop_
_atom_site_label
_atom_site_type_symbol
_atom_site_fract_x
_atom_site_fract_y
_atom_site_fract_z
Sc1 Sc 0.000 0.000 0.000
Ni1 Ni 0.126 0.126 0.626
Bi1 Bi 0.250 0.250 0.250


(6)
# Li2TbPmTe4 PBE-GGA optimized geometry
# Energy (eV/cell): -36.2
# Total magnetization (μB per atom): 0.0000
data_Li2TbPmTe4
_chemical_formula_sum 'Li2 Tb1 Pm1 Te4'
_space_group_name_H-M_alt 'P 1 2/m 1'
_space_group_IT_number 10
_cell_length_a 7.514
_cell_length_b 4.399
_cell_length_c 7.615
_cell_angle_alpha 90.00
_cell_angle_beta 109.73
_cell_angle_gamma 90.00
loop_
_space_group_symop_operation_xyz
'x,y,z'
'-x,-y,-z'
'-x,y,-z'
'x,-y,z'
loop_
_atom_site_label
_atom_site_type_symbol
_atom_site_fract_x
_atom_site_fract_y
_atom_site_fract_z
Li1 Li 0.000 0.000 0.000
Li2 Li 0.000 0.500 0.500
Tb1 Tb 0.500 0.000 0.500
Pm1 Pm 0.500 0.500 0.000
Te1 Te 0.240 0.000 0.742
Te2 Te 0.243 0.500 0.252


> The highest total magnetization belongs to which entry?

ScNi4Bi


> What is the energy in the first record?

-47.8 eV/cell